Below is NiSnSe after structural relaxation, with properties calculated at the GGA-PBE level.

Geometry as CIF:
```
data_NiSnSe
_chemical_formula_sum 'Ni4 Sn4 Se4'
_cell_length_a 10.233
_cell_length_b 3.785
_cell_length_c 6.273
_cell_angle_alpha 90.00
_cell_angle_beta 90.00
_cell_angle_gamma 90.00
_symmetry_space_group_name_H-M 'P n m a'
_symmetry_Int_Tables_number 62
_symmetry_space_group_name_Hall '-P 2ac 2n'
loop_
_atom_site_label
_atom_site_type_symbol
_atom_site_fract_x
_atom_site_fract_y
_atom_site_fract_z
Ni1 Ni 0.116 0.250 0.116
Sn1 Sn 0.230 0.250 0.479
Se1 Se 0.018 0.250 0.769
```

Summary:
Raw formation energy in eV/f.u.: -0.9
DFT total energy in Ha/atom: -0.1733
Density of states at the Fermi level in states/eV per atom: 0.506
Spin magnetization in μB per formula unit: 0.0